Material: Nd2Dy8Tm
Method: DFT, PBE-GGA
State: relaxed

It has space group C2/m (No. 12), with a = 18.165 Å, b = 5.033 Å, c = 7.969 Å, α = 90.00°, β = 105.28° and γ = 90.00°. The asymmetric unit holds Nd at (0.227, 0.000, 0.137), Dy at (0.045, 0.000, 0.228), Dy at (0.090, 0.500, 0.953), Dy at (0.135, 0.000, 0.678), Dy at (0.181, 0.500, 0.408) and Tm at (0.000, 0.500, 0.500).

Its total energy is -4.60 eV/atom.


Material: TiSeSN2
Method: DFT, PBE-GGA
State: relaxed

It has space group P4/mmm (No. 123), with a = 3.677 Å, b = 3.677 Å, c = 4.722 Å, α = 90.00°, β = 90.00° and γ = 90.00°. The asymmetric unit holds Ti at (0.000, 0.000, 0.000), Se at (0.500, 0.500, 0.000), S at (0.500, 0.500, 0.500) and N at (0.000, 0.500, 0.500).

The value obtained for the formation energy without anion corrections is 108.5 kJ per mole of atoms. Its total energy is -5.31 eV/atom.


Material: GdPuMgPb
Method: DFT, PBE-GGA
State: relaxed

It has space group F-43m (No. 216), with a = 7.652 Å, b = 7.652 Å, c = 7.652 Å, α = 90.00°, β = 90.00° and γ = 90.00°. The asymmetric unit holds Gd at (0.000, 0.000, 0.000), Pu at (0.000, 0.000, 0.500), Mg at (0.250, 0.250, 0.250) and Pb at (0.250, 0.250, 0.750).

Its total energy is -8.54 eV/atom.


Material: LaCuOs2
Method: DFT, PBE-GGA
State: relaxed

It has space group Fm-3m (No. 225), with a = 6.524 Å, b = 6.524 Å, c = 6.524 Å, α = 90.00°, β = 90.00° and γ = 90.00°. The asymmetric unit holds La at (0.000, 0.000, 0.000), Cu at (0.000, 0.000, 0.500) and Os at (0.250, 0.250, 0.250).

Its total energy is -7.04 eV/atom.


Material: PmErHgAu
Method: DFT, PBE-GGA
State: relaxed

It has space group F-43m (No. 216), with a = 7.386 Å, b = 7.386 Å, c = 7.386 Å, α = 90.00°, β = 90.00° and γ = 90.00°. The asymmetric unit holds Pm at (0.000, 0.000, 0.000), Er at (0.000, 0.000, 0.500), Hg at (0.250, 0.250, 0.750) and Au at (0.250, 0.250, 0.250).

Its total energy is -3.86 eV/atom.


Material: BiSbI
Method: DFT, PBE-GGA
State: relaxed

It has space group P-1 (No. 2), with a = 4.673 Å, b = 4.697 Å, c = 13.648 Å, α = 80.19°, β = 80.30° and γ = 60.46°. The asymmetric unit holds Bi at (0.095, 0.106, 0.213), Sb at (0.463, 0.476, 0.105) and I at (0.285, 0.289, 0.641).

The value obtained for the formation energy without anion corrections is -13.5 kJ per mole of atoms. Its total energy is -3.32 eV/atom.


Material: La2InNi16
Method: DFT, PBE-GGA
State: relaxed

It has space group R3m (No. 160, hexagonal axes), with a = 8.4808 Å, b = 8.4808 Å, c = 12.3564 Å, α = 90.00°, β = 90.00° and γ = 120.00°. The asymmetric unit holds La at (0.0000, 0.0000, 0.0000), La at (0.0000, 0.0000, 0.3085), In at (0.0000, 0.0000, 0.5691), Ni at (0.0000, 0.0000, 0.7701), Ni at (0.9999, 0.2979, 0.6592), Ni at (0.0006, 0.5003, 0.8140), Ni at (0.0031, 0.5016, 0.5008) and Ni at (0.1694, 0.3388, 0.4911).

Its total energy is -5.70 eV/atom.


Material: SbOs
Method: DFT, PBE-GGA
State: relaxed

It has space group Cmmm (No. 65), with a = 3.215 Å, b = 5.434 Å, c = 4.311 Å, α = 90.00°, β = 90.00° and γ = 90.00°. The asymmetric unit holds Sb at (0.000, 0.000, 0.000) and Os at (0.000, 0.500, 0.500).

The value obtained for the formation energy without anion corrections is 96.4 kJ per mole of atoms. Its total energy is -6.68 eV/atom.


Material: KBi2S2
Method: DFT, PBE-GGA
State: relaxed

It has space group I4/mmm (No. 139), with a = 5.582 Å, b = 5.582 Å, c = 9.984 Å, α = 90.00°, β = 90.00° and γ = 90.00°. The asymmetric unit holds K at (0.000, 0.000, 0.000), Bi at (0.000, 0.000, 0.341) and S at (0.000, 0.500, 0.250).

The value obtained for the formation energy without anion corrections is -30.6 kJ per mole of atoms. Its total energy is -3.74 eV/atom.


Material: Pr3Ni2P3
Method: DFT, PBE-GGA
State: relaxed

It has space group Cmcm (No. 63), with a = 4.054 Å, b = 10.949 Å, c = 14.094 Å, α = 90.00°, β = 90.00° and γ = 90.00°. The asymmetric unit holds Pr at (0.000, 0.075, 0.106), Pr at (0.000, 0.360, 0.250), Ni at (0.000, 0.224, 0.591), P at (0.000, 0.339, 0.750) and P at (0.000, 0.356, 0.047).

Its total energy is -6.32 eV/atom.


Material: CaO2F2
Method: DFT, PBE-GGA
State: relaxed

It has space group P4/mmm (No. 123), with a = 3.561 Å, b = 3.561 Å, c = 4.670 Å, α = 90.00°, β = 90.00° and γ = 90.00°. The asymmetric unit holds Ca at (0.000, 0.000, 0.000), O at (0.000, 0.500, 0.500), F at (0.500, 0.500, 0.000) and F at (0.500, 0.500, 0.500).

The value obtained for the formation energy without anion corrections is -82.2 kJ per mole of atoms. Its total energy is -3.98 eV/atom.


Material: YMoAu2
Method: DFT, PBE-GGA
State: relaxed

It has space group I-4m2 (No. 119), with a = 4.239 Å, b = 4.239 Å, c = 8.856 Å, α = 90.00°, β = 90.00° and γ = 90.00°. The asymmetric unit holds Y at (0.000, 0.000, 0.000), Mo at (0.000, 0.500, 0.750), Au at (0.000, 0.000, 0.500) and Au at (0.000, 0.500, 0.250).

Its total energy is -5.98 eV/atom.


Material: BeCN2
Method: DFT, PBE-GGA
State: relaxed

It has space group Cm (No. 8), with a = 7.850 Å, b = 2.474 Å, c = 4.573 Å, α = 90.00°, β = 105.74° and γ = 90.00°. The asymmetric unit holds Be at (0.000, 0.000, 0.000), C at (0.000, 0.500, 0.517), N at (0.000, 0.000, 0.357) and N at (0.001, 0.500, 0.802).

The value obtained for the formation energy without anion corrections is -43.1 kJ per mole of atoms. Its total energy is -7.85 eV/atom.


Material: Pr12MgPb3
Method: DFT, PBE-GGA
State: relaxed

It has space group P4/mmm (No. 123), with a = 5.057 Å, b = 5.057 Å, c = 20.099 Å, α = 90.00°, β = 90.00° and γ = 90.00°. The asymmetric unit holds Pr at (0.000, 0.000, 0.000), Pr at (0.000, 0.000, 0.250), Pr at (0.000, 0.000, 0.500), Pr at (0.000, 0.500, 0.124), Pr at (0.000, 0.500, 0.374), Mg at (0.500, 0.500, 0.500), Pb at (0.500, 0.500, 0.000) and Pb at (0.500, 0.500, 0.250).

Its total energy is -4.64 eV/atom.


Number 1: theoretical density 8305 kg/m3. Number 2: theoretical density 4863 kg/m3. Number 3: theoretical density 9380 kg/m3. Number 4: theoretical density 13942 kg/m3. Number 5: theoretical density 11703 kg/m3. Number 6: theoretical density 5948 kg/m3. Number 7: theoretical density 8620 kg/m3. Number 8: theoretical density 13757 kg/m3. Number 9: theoretical density 5565 kg/m3. Number 10: theoretical density 6722 kg/m3. Number 11: theoretical density 3087 kg/m3. Number 12: theoretical density 12078 kg/m3. Number 13: theoretical density 1905 kg/m3. Number 14: theoretical density 7551 kg/m3.